[1]
# Re2RuPt2, optimized geometry, DFT GGA-PBE
# Energy above the most stable polymorph in this dataset ... 0.171 eV/atom
# Spin magnetization ... 3.15 μB/cell
# Formation energy from the elements ... 578 meV per atom
data_Re2RuPt2
_chemical_formula_sum 'Re4 Ru2 Pt4'
_cell_length_a 3.595
_cell_length_b 3.595
_cell_length_c 12.957
_cell_angle_alpha 90.00
_cell_angle_beta 90.00
_cell_angle_gamma 90.00
_space_group_name_H-M_alt 'I 4/m m m'
_space_group_IT_number 139
_space_group_name_Hall '-I 4 2'
loop_
_atom_site_label
_atom_site_type_symbol
_atom_site_fract_x
_atom_site_fract_y
_atom_site_fract_z
_atom_site_occupancy
Re1 Re 0.000 0.500 0.250 1
Ru1 Ru 0.000 0.000 0.000 1
Pt1 Pt 0.000 0.000 0.402 1

***

[2]
# AsIr2Os, optimized geometry, DFT GGA-PBE
# Spin magnetization ... 0.00 μB/cell
# Formation energy from the elements ... 282 meV per atom
data_AsIr2Os
_chemical_formula_sum 'As1 Ir2 Os1'
_cell_length_a 2.813
_cell_length_b 3.819
_cell_length_c 5.593
_cell_angle_alpha 90.00
_cell_angle_beta 90.00
_cell_angle_gamma 90.00
_space_group_name_H-M_alt 'P m m m'
_space_group_IT_number 47
_space_group_name_Hall '-P 2 2'
loop_
_atom_site_label
_atom_site_type_symbol
_atom_site_fract_x
_atom_site_fract_y
_atom_site_fract_z
_atom_site_occupancy
As1 As 0.000 0.000 0.000 1
Ir1 Ir 0.500 0.500 0.263 1
Os1 Os 0.000 0.000 0.500 1

***

[3]
# LaErRh, optimized geometry, DFT GGA-PBE
# Energy above the most stable polymorph in this dataset ... 0.036 eV/atom
# Spin magnetization ... 0.00 μB/cell
# Formation energy from the elements ... -584 meV per atom
data_LaErRh
_chemical_formula_sum 'La2 Er2 Rh2'
_cell_length_a 5.580
_cell_length_b 5.581
_cell_length_c 5.585
_cell_angle_alpha 94.47
_cell_angle_beta 97.69
_cell_angle_gamma 94.35
_space_group_name_H-M_alt 'P -1'
_space_group_IT_number 2
_space_group_name_Hall '-P 1'
loop_
_atom_site_label
_atom_site_type_symbol
_atom_site_fract_x
_atom_site_fract_y
_atom_site_fract_z
_atom_site_occupancy
La1 La 0.230 0.448 0.231 1
Er1 Er 0.292 0.001 0.709 1
Rh1 Rh 0.189 0.933 0.189 1

***

[4]
# Ag2AsIr, optimized geometry, DFT GGA-PBE
# Spin magnetization ... 0.00 μB/cell
# Formation energy from the elements ... 189 meV per atom
data_Ag2AsIr
_chemical_formula_sum 'Ag4 As2 Ir2'
_cell_length_a 4.248
_cell_length_b 2.986
_cell_length_c 10.868
_cell_angle_alpha 90.00
_cell_angle_beta 90.00
_cell_angle_gamma 90.00
_space_group_name_H-M_alt 'A m m 2'
_space_group_IT_number 38
_space_group_name_Hall 'A 2 -2'
loop_
_atom_site_label
_atom_site_type_symbol
_atom_site_fract_x
_atom_site_fract_y
_atom_site_fract_z
_atom_site_occupancy
Ag1 Ag 0.000 0.000 0.000 1
Ag2 Ag 0.500 0.000 0.369 1
As1 As 0.500 0.000 0.634 1
Ir1 Ir 0.000 0.000 0.739 1